Entry 1:
Density functional theory data (GGA-PBE) for a relaxed structure of SmNpAg.

Properties
ΔH_f (0 K) (eV/atom): 0.893
SG: No. 216
Total magnetic moment (μB/atom): 1.531

Unit cell a=4.882 b=4.882 c=4.882 alpha=60.00 beta=60.00 gamma=60.00
Sites, in units of the cell vectors:
Sm 0.000 0.000 0.000
Np 0.250 0.250 0.250
Ag 0.750 0.750 0.750

Entry 2:
Density functional theory data (GGA-PBE) for a relaxed structure of TmNpAg.

Properties
ΔH_f (0 K) (eV/atom): 0.941
SG: No. 216
Total magnetic moment (μB/atom): 1.585

Unit cell a=4.858 b=4.858 c=4.858 alpha=60.00 beta=60.00 gamma=60.00
Sites, in units of the cell vectors:
Tm 0.000 0.000 0.000
Np 0.250 0.250 0.250
Ag 0.750 0.750 0.750

Entry 3:
Density functional theory data (GGA-PBE) for a relaxed structure of NpZnAg.

Properties
ΔH_f (0 K) (eV/atom): 0.534
SG: No. 216
Total magnetic moment (μB/atom): 1.562

Unit cell a=4.687 b=4.687 c=4.687 alpha=60.00 beta=60.00 gamma=60.00
Sites, in units of the cell vectors:
Np 0.000 0.000 0.000
Zn 0.750 0.750 0.750
Ag 0.500 0.500 0.500

Entry 4:
Density functional theory data (GGA-PBE) for a relaxed structure of AgO.

Properties
Electronic total energy (eV/atom): -3.918
SG: No. 15

Unit cell a=5.718 b=5.718 c=5.921 alpha=99.21 beta=99.21 gamma=32.72
Sites, in units of the cell vectors:
Ag 0.000 0.500 0.000
Ag 0.064 0.936 0.750
Ag 0.500 0.000 0.500
Ag 0.936 0.064 0.250
O 0.307 0.433 0.298
O 0.433 0.307 0.798
O 0.567 0.693 0.202
O 0.693 0.567 0.702

Entry 5:
Density functional theory data (GGA-PBE) for a relaxed structure of Ag2O.

Properties
Electronic total energy (eV/atom): -3.359
SG: No. 166

Unit cell a=4.041 b=4.041 c=4.041 alpha=60.53 beta=60.53 gamma=60.53
Sites, in units of the cell vectors:
Ag 0.249 0.249 0.249
Ag 0.751 0.751 0.751
O 0.500 0.500 0.500

Entry 6:
Density functional theory data (GGA-PBE) for a relaxed structure of AgO4.

Properties
Electronic total energy (eV/atom): -4.265
SG: No. 13

Unit cell a=4.030 b=6.678 c=5.406 alpha=90.00 beta=130.22 gamma=90.00
Sites, in units of the cell vectors:
Ag 0.000 0.178 0.250
Ag 0.000 0.822 0.750
O 0.167 0.163 0.748
O 0.167 0.837 0.248
O 0.360 0.446 0.268
O 0.360 0.554 0.768
O 0.640 0.446 0.232
O 0.640 0.554 0.732
O 0.833 0.163 0.752
O 0.833 0.837 0.252